# TlAs2Ru (PBE, relaxed)
data_TlAs2Ru
_cell_length_a 3.0304
_cell_length_b 3.0304
_cell_length_c 9.1299
_cell_angle_alpha 90.00
_cell_angle_beta 90.00
_cell_angle_gamma 90.00
_symmetry_space_group_name_H-M 'P 4/m m m'
_symmetry_Int_Tables_number 123
_symmetry_space_group_name_Hall '-P 4 2'
loop_
_atom_site_label
_atom_site_type_symbol
_atom_site_fract_x
_atom_site_fract_y
_atom_site_fract_z
_atom_site_occupancy
Tl1 Tl 0.0000 0.0000 0.0000 1
As1 As 0.5000 0.5000 0.3292 1
Ru1 Ru 0.0000 0.0000 0.5000 1
# Volume   21.0 Å³/atom
# Total DFT energy (no corrections)   -0.194 Ha/atom
# Formation energy from the elements   -0.1 eV per formula unit
# Energy above the most stable polymorph in this dataset   0 meV/atom



# MnAs3Ir (PBE, relaxed)
data_MnAs3Ir
_cell_length_a 4.4869
_cell_length_b 4.4869
_cell_length_c 4.4869
_cell_angle_alpha 90.00
_cell_angle_beta 90.00
_cell_angle_gamma 90.00
_symmetry_space_group_name_H-M 'P m -3 m'
_symmetry_Int_Tables_number 221
_symmetry_space_group_name_Hall '-P 4 2 3'
loop_
_atom_site_label
_atom_site_type_symbol
_atom_site_fract_x
_atom_site_fract_y
_atom_site_fract_z
_atom_site_occupancy
Mn1 Mn 0.0000 0.0000 0.0000 1
As1 As 0.0000 0.0000 0.5000 1
Ir1 Ir 0.5000 0.5000 0.5000 1
# Volume   18.1 Å³/atom
# Total DFT energy (no corrections)   -0.209 Ha/atom
# Formation energy from the elements   3.6 eV per formula unit
# Energy above the most stable polymorph in this dataset   0 meV/atom